# PmFeSi3Pt PBE optimized geometry
data_PmFeSi3Pt
_space_group_name_H-M_alt 'C m c m'
_space_group_IT_number 63
_space_group_name_Hall '-C 2c 2'
_cell_length_a 6.229
_cell_length_b 12.654
_cell_length_c 5.596
_cell_angle_alpha 90.00
_cell_angle_beta 90.00
_cell_angle_gamma 90.00
loop_
_atom_site_label
_atom_site_type_symbol
_atom_site_fract_x
_atom_site_fract_y
_atom_site_fract_z
Pm1 Pm 0.000 0.217 0.250
Fe1 Fe 0.000 0.038 0.750
Si1 Si 0.000 0.204 0.750
Si2 Si 0.219 0.500 0.000
Pt1 Pt 0.000 0.383 0.750
# Total magnetic moment ... 0.0 μB/cell
# E_form (uncorrected) ... -479 meV/atom
# Total DFT energy (no corrections) ... -6.399 eV per atom